[1]
! CrFe2Os GGA-PBE optimized geometry; values from VASP
&SYSTEM
  ibrav = 0, nat = 4, ntyp = 3
/
ATOMIC_SPECIES
Cr 52.00 Cr.upf
Fe 55.84 Fe.upf
Os 190.23 Os.upf
CELL_PARAMETERS angstrom
-2.5783 -7.9003 1.4274
-1.9948 -8.1178 -1.1052
-0.1269 -8.4027 0.6924
ATOMIC_POSITIONS angstrom
Cr -1.1750 -6.1052 0.2537
Fe -4.6870 -24.3528 1.0118
Fe -2.3631 -12.2784 0.5101
Os -3.5250 -18.3156 0.7610
! Theoretical density ... 12025 kg/m³
! Symmetry ... R-3m (166)
! Crystal system ... trigonal

[2]
! Cr2FeOs GGA-PBE optimized geometry; values from VASP
&SYSTEM
  ibrav = 0, nat = 4, ntyp = 3
/
ATOMIC_SPECIES
Cr 52.00 Cr.upf
Fe 55.84 Fe.upf
Os 190.23 Os.upf
CELL_PARAMETERS angstrom
-0.5214 3.6754 2.4546
-3.9156 -2.0983 -0.2659
0.5859 -1.3688 2.1740
ATOMIC_POSITIONS angstrom
Cr 0.0000 0.0000 0.0000
Cr -2.2185 0.7885 1.0944
Fe 0.0322 1.1533 2.3143
Os -1.6649 -1.7336 0.9540
! Theoretical density ... 11754 kg/m³
! E above lowest polymorph ... 47 meV per atom
! Symmetry ... Cmmm (65)
! Crystal system ... orthorhombic

Asked for total moment across the records above, the calculation gives 2.055 0.727 Bohr magnetons per cell in order.
Asked for ΔH_f (0 K) across the records above, the calculation gives 205 135 meV/atom in order.